Below is crystalline ZrCu2Ni2 at its relaxed geometry, with properties calculated at the GGA-PBE level.

Results
**Space group**: P4/mbm, No. 127
**Calculated density**: 8.27 g/cm³
**Energy of formation**: -8.92 kJ/mol of atoms
**Magnetization**: 0.00 μB per formula unit

Unit cell a=6.9466 b=6.9466 c=2.7947 alpha=90.00 beta=90.00 gamma=90.00
Closest atoms and distances in Å follow each position.
Element x y z (fractional)
Ni  0.1297  0.3703  0.0000  6 Cu 2.47-2.48, 1 Ni 2.55, 2 Zr 2.73
Ni  0.8703  0.6297  0.0000  6 Cu 2.47-2.48, 1 Ni 2.55, 2 Zr 2.73
Ni  0.3703  0.8703  0.0000  6 Cu 2.47-2.48, 1 Ni 2.55, 2 Zr 2.73
Ni  0.6297  0.1297  0.0000  6 Cu 2.47-2.48, 1 Ni 2.55, 2 Zr 2.73
Zr  0.0000  0.0000  0.0000  4 Ni 2.73, 2 Zr 2.79, 8 Cu 2.95
Zr  0.5000  0.5000  0.0000  4 Ni 2.73, 2 Zr 2.79, 8 Cu 2.95
Cu  0.3367  0.1633  0.5000  6 Ni 2.47-2.48
Cu  0.1633  0.6633  0.5000  6 Ni 2.47-2.48
Cu  0.6633  0.8367  0.5000  6 Ni 2.47-2.48
Cu  0.8367  0.3367  0.5000  6 Ni 2.47-2.48



Below is crystalline Zr2Cu2Ni at its relaxed geometry, with properties calculated at the GGA-PBE level.

Results
**Space group**: P4/mbm, No. 127
**Calculated density**: 7.42 g/cm³
**Energy of formation**: -9.92 kJ/mol of atoms
**Magnetization**: 0.00 μB per formula unit

Unit cell a=6.7392 b=6.7392 c=3.6271 alpha=90.00 beta=90.00 gamma=90.00
Closest atoms and distances in Å follow each position.
Element x y z (fractional)
Zr  0.8231  0.3231  0.5000  6 Cu 2.60-2.76
Zr  0.3231  0.1769  0.5000  6 Cu 2.60-2.76
Zr  0.6769  0.8231  0.5000  6 Cu 2.60-2.76
Zr  0.1769  0.6769  0.5000  6 Cu 2.60-2.76
Ni  0.0000  0.0000  0.0000  4 Cu 2.66
Ni  0.5000  0.5000  0.0000  4 Cu 2.66
Cu  0.3730  0.8730  0.0000  1 Cu 2.42, 2 Zr 2.60, 2 Ni 2.66
Cu  0.1270  0.3730  0.0000  1 Cu 2.42, 2 Zr 2.60, 2 Ni 2.66
Cu  0.6270  0.1270  0.0000  1 Cu 2.42, 2 Zr 2.60, 2 Ni 2.66
Cu  0.8730  0.6270  0.0000  1 Cu 2.42, 2 Zr 2.60, 2 Ni 2.66



Below is crystalline Zr2CuNi4 at its relaxed geometry, with properties calculated at the GGA-PBE level.

Results
**Space group**: Cm, No. 8
**Calculated density**: 7.58 g/cm³
**Energy of formation**: -9.38 kJ/mol of atoms
**Magnetization**: 0.00 μB per formula unit

Unit cell a=5.7256 b=5.7256 c=5.1437 alpha=123.27 beta=123.22 gamma=90.85
Closest atoms and distances in Å follow each position.
Element x y z (fractional)
Ni  0.2570  0.3144  0.0720  2 Ni 2.44, 4 Zr 2.57-2.68, 2 Cu 2.60
Ni  0.2884  0.6724  0.9608  3 Ni 2.44-2.50, 2 Cu 2.60-2.68, 2 Zr 2.68
Ni  0.8970  0.2838  0.1808  3 Ni 2.44-2.50, 2 Cu 2.60-2.68, 2 Zr 2.67
Ni  0.7577  0.8150  0.0720  2 Ni 2.44, 4 Zr 2.57-2.68, 2 Cu 2.60
Zr  0.7039  0.2781  0.5712  8 Ni 2.57-2.79, 1 Cu 2.86
Zr  0.2932  0.8673  0.5712  8 Ni 2.57-2.79, 1 Cu 2.86
Cu  0.8028  0.7691  0.5719  8 Ni 2.60-2.68, 2 Zr 2.86



Below is crystalline NpCu4 at its relaxed geometry, with properties calculated at the GGA-PBE level.

Results
**Space group**: Pm-3m, No. 221
**Calculated density**: 6.44 g/cm³
**Energy of formation**: 174.65 kJ/mol of atoms
**Magnetization**: 4.13 μB per formula unit

Unit cell a=5.0209 b=5.0209 c=5.0209 alpha=90.00 beta=90.00 gamma=90.00
Closest atoms and distances in Å follow each position.
Element x y z (fractional)
Np  0.5000  0.5000  0.5000  6 Cu 2.51
Cu  0.0000  0.5000  0.5000  2 Np 2.51
Cu  0.5000  0.5000  0.0000  2 Np 2.51
Cu  0.5000  0.0000  0.5000  2 Np 2.51
Cu  0.0000  0.0000  0.0000  12 Cu 3.55



Below is crystalline NpCu3 at its relaxed geometry, with properties calculated at the GGA-PBE level.

Results
**Space group**: Pmm2, No. 25
**Calculated density**: 11.01 g/cm³
**Energy of formation**: 26.53 kJ/mol of atoms
**Magnetization**: 4.48 μB per formula unit

Unit cell a=2.6717 b=4.2251 c=5.7114 alpha=90.00 beta=90.00 gamma=90.00
Closest atoms and distances in Å follow each position.
Element x y z (fractional)
Np  0.0000  0.5000  0.3091  2 Np 2.67, 6 Cu 2.95
Cu  0.5000  0.0000  0.5831  6 Cu 2.48-2.67
Cu  0.0000  0.0000  0.9498  8 Cu 2.48-2.67
Cu  0.5000  0.5000  0.8247  8 Cu 2.52-2.67



Below is crystalline Np3Cu at its relaxed geometry, with properties calculated at the GGA-PBE level.

Results
**Space group**: Fm-3m, No. 225
**Calculated density**: 19.30 g/cm³
**Energy of formation**: 30.61 kJ/mol of atoms
**Magnetization**: 1.54 μB per formula unit

Unit cell a=4.5506 b=4.5506 c=4.5506 alpha=60.00 beta=60.00 gamma=60.00
Closest atoms and distances in Å follow each position.
Element x y z (fractional)
Cu  0.7500  0.7500  0.7500  8 Np 2.79
Np  0.5000  0.5000  0.5000  4 Cu 2.79, 4 Np 2.79
Np  0.2500  0.2500  0.2500  8 Np 2.79
Np  0.0000  0.0000  0.0000  4 Np 2.79, 4 Cu 2.79



Below is crystalline Np4Cu at its relaxed geometry, with properties calculated at the GGA-PBE level.

Results
**Space group**: Pm-3m, No. 221
**Calculated density**: 11.51 g/cm³
**Energy of formation**: 124.09 kJ/mol of atoms
**Magnetization**: 20.09 μB per formula unit

Unit cell a=5.2645 b=5.2645 c=5.2645 alpha=90.00 beta=90.00 gamma=90.00
Closest atoms and distances in Å follow each position.
Element x y z (fractional)
Np  0.5000  0.5000  0.0000  2 Cu 2.63
Np  0.0000  0.0000  0.0000  12 Np 3.72
Np  0.0000  0.5000  0.5000  2 Cu 2.63
Np  0.5000  0.0000  0.5000  2 Cu 2.63
Cu  0.5000  0.5000  0.5000  6 Np 2.63



Below is crystalline Np2Cu4O9 at its relaxed geometry, with properties calculated at the GGA-PBE level.

Results
**Space group**: C2/m, No. 12
**Calculated density**: 7.51 g/cm³
**ΔE_f (raw)**: -1582 meV per atom
**Magnetization**: 0.01 μB per formula unit

Unit cell a=5.2018 b=5.2019 c=15.5317 alpha=89.98 beta=89.99 gamma=66.57
Closest atoms and distances in Å follow each position.
Element x y z (fractional)
O  0.6182  0.3820  0.9283  2 Cu 1.98, 1 Np 2.08
O  0.7475  0.9088  0.4171  1 Cu 1.93, 1 Np 1.97
O  0.2525  0.0912  0.5829  1 Cu 1.93, 1 Np 1.97
O  0.9097  0.7469  0.9172  1 Cu 1.93, 1 Np 1.97
O  0.9534  0.3615  0.7501  2 Cu 1.91-2.00
O  0.6176  0.3822  0.5718  2 Cu 1.98, 1 Np 2.08
O  0.0916  0.2526  0.4169  1 Cu 1.93, 1 Np 1.97
O  0.3824  0.6178  0.4282  2 Cu 1.98, 1 Np 2.08
O  0.7986  0.2013  0.2500  2 Cu 1.93
O  0.7467  0.9093  0.0830  1 Cu 1.93, 1 Np 1.97
O  0.2014  0.7987  0.7500  2 Cu 1.93
O  0.6386  0.0467  0.7501  2 Cu 1.91-2.00
O  0.0903  0.2531  0.0828  1 Cu 1.93, 1 Np 1.97
O  0.3818  0.6180  0.0717  2 Cu 1.98, 1 Np 2.08
O  0.3614  0.9533  0.2499  2 Cu 1.91-2.00
O  0.2533  0.0907  0.9170  1 Cu 1.93, 1 Np 1.97
O  0.0466  0.6385  0.2499  2 Cu 1.91-2.00
O  0.9084  0.7474  0.5831  1 Cu 1.93, 1 Np 1.97
Np  0.0730  0.9269  0.1424  3 O 1.97-2.08
Np  0.9266  0.0734  0.6425  3 O 1.97-2.08
Np  0.0734  0.9266  0.3575  3 O 1.97-2.08
Np  0.9270  0.0731  0.8576  3 O 1.97-2.08
Cu  0.6710  0.6709  0.0000  4 O 1.93-1.98
Cu  0.6785  0.6027  0.2500  3 O 1.91-2.00
Cu  0.6709  0.6710  0.5001  4 O 1.93-1.98
Cu  0.6028  0.6786  0.7500  3 O 1.91-2.00
Cu  0.3972  0.3214  0.2500  3 O 1.91-2.00
Cu  0.3290  0.3291  0.0000  4 O 1.93-1.98
Cu  0.3291  0.3290  0.4999  4 O 1.93-1.98
Cu  0.3215  0.3973  0.7500  3 O 1.91-2.00



Below is crystalline NpCuO4 at its relaxed geometry, with properties calculated at the GGA-PBE level.

Results
**Space group**: P2_1/c, No. 14
**Calculated density**: 7.63 g/cm³
**ΔE_f (raw)**: -1989 meV per atom
**Magnetization**: 1.45 μB per formula unit

Unit cell a=5.0185 b=5.5104 c=6.5549 alpha=118.89 beta=90.00 gamma=90.00
Closest atoms and distances in Å follow each position.
Element x y z (fractional)
O  0.7053  0.7324  0.4227  1 Np 1.89, 1 Cu 1.97
O  0.7947  0.2324  0.9227  1 Np 1.89, 1 Cu 1.97
O  0.1840  0.8324  0.6662  1 Cu 1.97, 1 Np 2.13
O  0.3160  0.3324  0.1662  1 Cu 1.97, 1 Np 2.13
O  0.2053  0.7676  0.0773  1 Np 1.89, 1 Cu 1.97
O  0.8160  0.1676  0.3338  1 Cu 1.97, 1 Np 2.13
O  0.6840  0.6676  0.8338  1 Cu 1.97, 1 Np 2.13
O  0.2947  0.2676  0.5773  1 Np 1.89, 1 Cu 1.97
Np  0.5000  0.5000  0.5000  2 O 1.89
Np  0.0000  0.0000  0.0000  2 O 1.89
Cu  0.5000  0.5000  0.0000  4 O 1.97
Cu  0.0000  0.0000  0.5000  4 O 1.97



Below is crystalline NpCu2O5 at its relaxed geometry, with properties calculated at the GGA-PBE level.

Results
**Space group**: C2/c, No. 15
**Calculated density**: 7.35 g/cm³
**ΔE_f (raw)**: -1575 meV per atom
**Magnetization**: 0.96 μB per formula unit

Unit cell a=5.0163 b=5.7862 c=8.2106 alpha=108.65 beta=90.00 gamma=115.69
Closest atoms and distances in Å follow each position.
Element x y z (fractional)
O  0.6092  0.7999  0.0417  1 Np 1.89, 1 Cu 2.10
O  0.0001  0.3543  0.1555  2 Cu 1.97-1.98, 1 Np 2.04
O  0.8093  0.2001  0.4583  1 Np 1.89, 1 Cu 2.10
O  0.3541  0.3543  0.6555  2 Cu 1.97-1.98, 1 Np 2.04
O  0.2174  0.0000  0.2500  2 Cu 1.99
O  0.1907  0.7999  0.5417  1 Np 1.89, 1 Cu 2.10
O  0.3908  0.2001  0.9583  1 Np 1.89, 1 Cu 2.10
O  0.9999  0.6457  0.8445  2 Cu 1.97-1.98, 1 Np 2.04
O  0.7826  0.0000  0.7500  2 Cu 1.99
O  0.6459  0.6457  0.3445  2 Cu 1.97-1.98, 1 Np 2.04
Cu  0.3662  0.7187  0.7365  4 O 1.97-2.10
Cu  0.3524  0.7187  0.2365  4 O 1.97-2.10
Cu  0.6476  0.2813  0.7635  4 O 1.97-2.10
Cu  0.6338  0.2813  0.2635  4 O 1.97-2.10
Np  0.0000  0.0000  0.5000  4 O 1.89-2.04
Np  0.0000  0.0000  0.0000  4 O 1.89-2.04



Below is crystalline Np2CuO11 at its relaxed geometry, with properties calculated at the GGA-PBE level.

Results
**Space group**: P1, No. 1
**Calculated density**: 5.37 g/cm³
**ΔE_f (raw)**: -1476 meV per atom
**Magnetization**: 0.96 μB per formula unit

Unit cell a=14.4843 b=9.2028 c=8.8472 alpha=37.49 beta=42.65 gamma=40.77
Closest atoms and distances in Å follow each position.
Element x y z (fractional)
O  0.8224  0.5181  0.3207  1 Np 1.94
O  0.0381  0.9250  0.6826  1 Np 1.81
O  0.5684  0.8475  0.8727  1 Cu 1.89, 1 Np 1.95
O  0.2798  0.1148  0.0965  1 Cu 1.92, 1 Np 1.93
O  0.3031  0.8373  0.0073  1 Np 1.92
O  0.2239  0.4059  0.6469  1 Np 1.91
O  0.4083  0.6520  0.5502  2 O 1.31-1.34
O  0.0732  0.3495  0.3727  1 Cu 1.86, 1 Np 1.95
O  0.3271  0.5326  0.6965  1 O 1.31
O  0.5107  0.2081  0.4343  1 Np 1.81
O  0.8182  0.1424  0.1599  2 O 1.29-1.42
O  0.7861  0.5367  0.6731  1 Np 1.90, 1 Cu 1.95
O  0.7486  0.1310  0.9072  1 Np 1.93
O  0.9923  0.5884  0.5588  1 Cu 1.90, 1 Np 1.94
O  0.9724  0.0218  0.0316  1 O 1.42
O  0.7878  0.0887  0.3744  1 O 1.29
O  0.5461  0.8554  0.4492  1 Np 1.81
O  0.0363  0.9730  0.3308  1 Np 1.81
O  0.7789  0.7643  0.9015  1 Np 1.89, 1 Cu 1.96
O  0.4904  0.1077  0.0464  1 Cu 1.89, 1 Np 1.97
O  0.2673  0.4650  0.1925  1 Cu 1.89, 1 Np 1.93
O  0.5531  0.5397  0.4266  1 O 1.34
Cu  0.2776  0.2569  0.1800  4 O 1.86-1.92
Cu  0.7795  0.7210  0.7171  5 O 1.89-2.11
Np  0.1480  0.7150  0.2796  4 O 1.81-1.94
Np  0.9091  0.2398  0.6526  4 O 1.81-1.95
Np  0.3903  0.1376  0.7686  4 O 1.81-1.95
Np  0.6632  0.8250  0.1697  4 O 1.81-1.97



Below is crystalline NpCu3O8 at its relaxed geometry, with properties calculated at the GGA-PBE level.

Results
**Space group**: P1, No. 1
**Calculated density**: 5.28 g/cm³
**ΔE_f (raw)**: -999 meV per atom
**Magnetization**: 0.42 μB per formula unit

Unit cell a=4.9040 b=6.1700 c=6.5542 alpha=109.72 beta=110.18 gamma=86.37
Closest atoms and distances in Å follow each position.
Element x y z (fractional)
Cu  0.6251  0.6926  0.2150  4 O 1.80-2.00
Cu  0.7398  0.2898  0.3814  4 O 1.79-2.00
Cu  0.2694  0.3014  0.8534  4 O 1.82-1.87
O  0.2703  0.3717  0.4303  1 Np 1.85
O  0.7825  0.6341  0.5032  2 Cu 1.93-2.00
O  0.2840  0.9881  0.7895  1 Cu 1.84, 1 Np 1.89
O  0.3515  0.6053  0.8876  2 Cu 1.86-2.00, 1 Np 2.06
O  0.6793  0.9853  0.2313  2 Cu 1.79-1.80
O  0.6151  0.3663  0.1068  3 Cu 1.87-1.90
O  0.8884  0.2844  0.6724  2 Cu 1.80-1.82
O  0.2069  0.7678  0.3326  1 Np 1.86
Np  0.2861  0.6829  0.5930  4 O 1.85-2.06